1.
Below is a relaxed structure of Gd4PbSN2, with properties calculated at the PBE level.

a b c (Å): 3.618 3.618 14.315
angles (deg): 90.00 90.00 120.00
Element x y z (fractional)
Gd (0.333, 0.667, 0.183)
N (0.667, 0.333, 0.275)
N (0.667, 0.333, 0.725)
Gd (0.000, 0.000, 0.368)
S (0.333, 0.667, 0.500)
Gd (0.000, 0.000, 0.632)
Pb (0.000, 0.000, 0.000)
Gd (0.333, 0.667, 0.817)

Summary:
calculated total energy: -6.8320 eV/atom

=====

2.
Below is a relaxed structure of YZnPd, with properties calculated at the PBE level.

a b c (Å): 4.688 4.688 4.688
angles (deg): 60.00 60.00 60.00
Element x y z (fractional)
Y (0.250, 0.250, 0.250)
Pd (0.500, 0.500, 0.500)
Zn (0.000, 0.000, 0.000)

Summary:
energy of formation from the pure elements: -0.115 eV per atom

=====

3.
Below is a relaxed structure of Ho2TmAl7Cu2, with properties calculated at the PBE level.

a b c (Å): 9.014 9.014 9.014
angles (deg): 35.28 35.28 35.28
Element x y z (fractional)
Ho (0.142, 0.142, 0.142)
Ho (0.858, 0.858, 0.858)
Al (0.418, 0.927, 0.418)
Al (0.582, 0.073, 0.582)
Cu (0.665, 0.665, 0.665)
Al (0.073, 0.582, 0.582)
Al (0.500, 0.500, 0.500)
Cu (0.335, 0.335, 0.335)
Al (0.927, 0.418, 0.418)
Tm (0.000, 0.000, 0.000)
Al (0.582, 0.582, 0.073)
Al (0.418, 0.418, 0.927)

Summary:
calculated total energy: -4.4124 eV/atom

=====

4.
Below is a relaxed structure of HoSbPbI2, with properties calculated at the PBE level.

a b c (Å): 4.439 4.439 11.480
angles (deg): 90.00 90.00 120.00
Element x y z (fractional)
I (0.667, 0.333, 0.320)
I (0.000, 0.000, 0.666)
Ho (0.000, 0.000, 0.156)
Sb (0.333, 0.667, 0.015)
Pb (0.667, 0.333, 0.843)

Summary:
calculated total energy: -3.9190 eV/atom

=====

5.
Below is a relaxed structure of BaLu3Ga, with properties calculated at the PBE level.

a b c (Å): 4.652 14.925 14.925
angles (deg): 18.79 90.00 90.00
Each line ends with the local moment (μB).
Element x y z (fractional)
Lu (0.000, 0.443, 0.443)  0.05
Lu (0.000, 0.560, 0.560)  0.05
Lu (0.500, 0.289, 0.289)  0.00
Ga (0.500, 0.617, 0.617)  0.00
Ga (0.500, 0.386, 0.386)  0.00
Ba (0.000, 0.166, 0.166)  0.01
Ba (0.000, 0.837, 0.837)  0.01
Lu (0.500, 0.061, 0.061)  0.06
Lu (0.500, 0.942, 0.942)  0.06
Lu (0.500, 0.715, 0.715)  0.00

Summary:
calculated total energy: -3.5591 eV/atom

=====

6.
Below is a relaxed structure of CdBiMo, with properties calculated at the PBE level.

a b c (Å): 4.862 4.862 4.862
angles (deg): 60.00 60.00 60.00
Each line ends with the local moment (μB).
Element x y z (fractional)
Bi (0.500, 0.500, 0.500)  -0.03
Mo (0.000, 0.000, 0.000)  3.16
Cd (0.250, 0.250, 0.250)  0.04

Summary:
calculated total energy: -4.1420 eV/atom

=====

7.
Below is a relaxed structure of CoAs, with properties calculated at the PBE level.

a b c (Å): 3.548 3.548 5.016
angles (deg): 90.00 90.00 120.00
Element x y z (fractional)
As (0.333, 0.667, 0.250)
As (0.667, 0.333, 0.750)
Co (0.000, 0.000, 0.500)
Co (0.000, 0.000, 0.000)

Summary:
calculated total energy: -6.1466 eV/atom

=====

8.
Below is a relaxed structure of Tb2Nd2Ni, with properties calculated at the PBE level.

a b c (Å): 5.065 5.065 12.406
angles (deg): 90.00 90.00 120.00
Element x y z (fractional)
Tb (0.333, 0.667, 0.750)
Tb (0.667, 0.333, 0.250)
Tb (0.000, 0.000, 0.500)
Nd (0.333, 0.667, 0.373)
Ni (0.000, 0.000, 0.750)
Nd (0.667, 0.333, 0.627)
Tb (0.000, 0.000, 0.000)
Nd (0.667, 0.333, 0.873)
Nd (0.333, 0.667, 0.127)
Ni (0.000, 0.000, 0.250)

Summary:
energy of formation from the pure elements: 0.163 eV per atom